Record 1
# BaCoSe2O6, relaxed, DFT GGA+U
data_BaCoSe2O6
_chemical_formula_sum 'Ba3 Co3 Se6 O18'
_symmetry_space_group_name_H-M 'R -3'
_symmetry_Int_Tables_number 148
_symmetry_space_group_name_Hall '-R 3'
_cell_length_a 5.5481
_cell_length_b 5.5481
_cell_length_c 17.9529
_cell_angle_alpha 90.00
_cell_angle_beta 90.00
_cell_angle_gamma 120.00
loop_
_atom_site_label
_atom_site_fract_x
_atom_site_fract_y
_atom_site_fract_z
_atom_site_occupancy
Ba1 0.0000 0.0000 0.0000 1
Co1 0.0000 0.0000 0.5000 1
Se1 0.0000 0.0000 0.2678 1
O1 0.0184 0.4021 0.9005 1
# Density of states at the Fermi level = 0.000 states/eV per atom
# Theoretical density = 4.686 Mg/m³
# Energy = -167.87 eV/cell

---

Record 2
# RbMoNO2, relaxed, DFT GGA+U
data_RbMoNO2
_chemical_formula_sum 'Rb1 Mo1 N1 O2'
_symmetry_space_group_name_H-M 'P 4/m m m'
_symmetry_Int_Tables_number 123
_symmetry_space_group_name_Hall '-P 4 2'
_cell_length_a 4.145
_cell_length_b 4.145
_cell_length_c 4.558
_cell_angle_alpha 90.00
_cell_angle_beta 90.00
_cell_angle_gamma 90.00
loop_
_atom_site_label
_atom_site_fract_x
_atom_site_fract_y
_atom_site_fract_z
_atom_site_occupancy
Rb1 0.000 0.000 0.000 1
Mo1 0.500 0.500 0.500 1
N1 0.000 0.000 0.500 1
O1 0.000 0.500 0.000 1
# Density of states at the Fermi level = 0.183 states/eV per atom
# Theoretical density = 4.822 Mg/m³
# Energy = -16.03 eV/cell

---

What did the second record say?
# RbMoNO2, relaxed, DFT GGA+U
data_RbMoNO2
_chemical_formula_sum 'Rb1 Mo1 N1 O2'
_symmetry_space_group_name_H-M 'P 4/m m m'
_symmetry_Int_Tables_number 123
_symmetry_space_group_name_Hall '-P 4 2'
_cell_length_a 4.145
_cell_length_b 4.145
_cell_length_c 4.558
_cell_angle_alpha 90.00
_cell_angle_beta 90.00
_cell_angle_gamma 90.00
loop_
_atom_site_label
_atom_site_fract_x
_atom_site_fract_y
_atom_site_fract_z
_atom_site_occupancy
Rb1 0.000 0.000 0.000 1
Mo1 0.500 0.500 0.500 1
N1 0.000 0.000 0.500 1
O1 0.000 0.500 0.000 1
# Density of states at the Fermi level = 0.183 states/eV per atom
# Theoretical density = 4.822 Mg/m³
# Energy = -16.03 eV/cell

---

Q: Which of these has the highest density of states at the Fermi level?
A: RbMoNO2

---

Q: Which value of theoretical density does entry 1 give?
A: 4.686 Mg/m³

---

Q: Which of these has the highest theoretical density?
A: RbMoNO2